# 1
KFe2I2: optimized geometry, PBE-GGA.

The structure belongs to space group P4/mbm (No. 127); the cell edges are 8.4560, 8.4560 and 4.6998 Å and the angles 90.00°, 90.00° and 90.00°. Symmetry generates all atoms from K at (0.0000, 0.0000, 0.0000), Fe at (0.0881, 0.4119, 0.0000) and I at (0.1761, 0.3239, 0.5000).

The relative energy among the computed polymorphs is 72 meV per atom.


# 2
SrSbPb2: optimized geometry, PBE-GGA.

The structure belongs to space group P4/mmm (No. 123); the cell edges are 4.8839, 4.8839 and 5.2426 Å and the angles 90.00°, 90.00° and 90.00°. Symmetry generates all atoms from Sr at (0.0000, 0.0000, 0.0000), Sb at (0.5000, 0.5000, 0.0000) and Pb at (0.0000, 0.5000, 0.5000).

The value obtained for the uncorrected energy is -3.71 eV per atom.